Entry 1:
Below is a geometry-optimized YTm2Ga3PtAu2 structure, with properties calculated at the PBE level.

Unit cell a=3.826 b=12.853 c=7.396 alpha=90.00 beta=90.00 gamma=90.00
Space group Amm2 (No. 38)
One atom of each set of equivalent atoms:
Y: 0.000 0.000 0.000 x2
Tm: 0.000 0.199 0.400 x4
Ga: 0.500 0.000 0.347 x2
Ga: 0.500 0.126 0.725 x4
Pt: 0.000 0.000 0.596 x2
Au: 0.500 0.169 0.101 x4

## Properties
Energy ... -5.02 eV/atom



Entry 2:
Below is a geometry-optimized YGa2PtAu structure, with properties calculated at the PBE level.

Unit cell a=4.185 b=4.185 c=11.059 alpha=90.00 beta=90.00 gamma=90.00
Space group P4/nmm (No. 129, origin choice 2)
One atom of each set of equivalent atoms:
Y: 0.250 0.250 0.242 x2
Ga: 0.250 0.250 0.871 x2
Ga: 0.250 0.750 0.500 x2
Pt: 0.250 0.750 0.000 x2
Au: 0.250 0.250 0.645 x2

## Properties
Energy ... -5.13 eV/atom
Relative energy among the computed polymorphs ... 32 meV/atom